[1]
# BaTiH2

BaTiH2 after structural relaxation (PBE, Alexandria).

The structure in POSCAR format:
```
BaTiH2
1.0
-1.9887 0.7831 4.1291
-3.3079 3.2416 0.4098
-4.4146 -1.2629 0.7310
H Ba Ti
2 1 1
Cartesian
-2.4278 0.6904 1.3175
-7.2835 2.0713 3.9524
-4.8557 1.3809 2.6350
0.0000 0.0000 0.0000
```

Properties
- calculated volume (Å³/f.u.) = 71
- calculated density (g cm⁻³) = 4.37
- SG = Fm-3m (225)
- distance to the lowest polymorph of the same formula (meV/atom) = 510
- total moment (μB/cell) = 3.15



[2]
# CdGaSbI2

CdGaSbI2 after structural relaxation (PBE, Alexandria).

The structure in POSCAR format:
```
CdGaSbI2
1.0
-3.8603 3.8251 1.6076
-4.1422 -3.4257 -1.7955
-0.2350 -2.3474 5.0210
I Sb Ga Cd
2 1 1 1
Cartesian
-2.0711 -1.7129 -0.8977
-1.9301 1.9125 0.8038
-0.1175 -1.1737 2.5105
0.0000 0.0000 0.0000
-4.1188 -0.9740 2.4166
```

Properties
- calculated volume (Å³/f.u.) = 178
- calculated density (g cm⁻³) = 5.20
- SG = P4/mmm (123)
- distance to the lowest polymorph of the same formula (meV/atom) = 0
- total moment (μB/cell) = 0.81
- formation energy without anion corrections (eV/f.u.) = 1.01



[3]
# MgP4Pt

MgP4Pt after structural relaxation (PBE, Alexandria).

The structure in POSCAR format:
```
MgP4Pt
1.0
-4.3455 -2.6796 0.2497
-1.8506 -1.4509 4.5383
-4.2416 2.1755 1.8443
Mg P Pt
1 4 1
Cartesian
0.0000 0.0000 0.0000
-4.4435 -2.2430 3.2277
-5.5793 -0.5204 1.9481
-6.4583 -1.2096 4.1038
-4.3942 0.0632 3.9851
-2.6094 -0.4887 1.6581
```

Properties
- calculated volume (Å³/f.u.) = 94
- calculated density (g cm⁻³) = 6.04
- DFT formation energy (eV/atom) = 0.40
- SG = F-43m (216)
- total moment (μB/cell) = 0.00